First-principles (PBE with a Hubbard U) data for V3NiO after structural relaxation, as listed in Alexandria via LeMat-Bulk.

The calculation puts the volume at 12.8 A^3/atom. As for the spin magnetization: 5.2 μB per cell. The total DFT energy (no corrections) is -27.49 eV for the cell shown. The energy relative to the lowest polymorph listed for this composition comes out at 0.0000 eV/atom.

The structure belongs to space group Pm-3m (No. 221); the cell edges are 3.998, 3.998 and 3.998 Å and the angles 90.00°, 90.00° and 90.00°. The distinct sites, in fractional coordinates, are V at (0.000, 0.000, 0.500), Ni at (0.500, 0.500, 0.500) and O at (0.000, 0.000, 0.000).